DFT (GGA-PBE) results for a relaxed La12Tb3Pu crystal.

## Properties
total moment: 6.637 μB/f.u.
energy: -5.42 eV/atom

a b c (Å): 5.1954 5.1954 20.7995
angles (deg): 90.00 90.00 90.00
Space group P4/mmm (No. 123)
One atom of each set of equivalent atoms:
La 0.0000 0.0000 0.0000 [1 per cell]
La 0.0000 0.0000 0.2483 [2 per cell]
La 0.0000 0.0000 0.5000 [1 per cell]
La 0.0000 0.5000 0.1216 [4 per cell]
La 0.0000 0.5000 0.3742 [4 per cell]
Tb 0.5000 0.5000 0.2491 [2 per cell]
Tb 0.5000 0.5000 0.5000 [1 per cell]
Pu 0.5000 0.5000 0.0000 [1 per cell]



DFT (GGA-PBE) results for a relaxed TaTlSe3 crystal.

## Properties
total moment: 0.000 μB/f.u.
offset from the most stable computed form: 196 meV per atom
raw formation energy: -0.443 eV/atom
energy: -5.38 eV/atom

a b c (Å): 5.1056 5.1056 5.1056
angles (deg): 90.00 90.00 90.00
Space group Pm-3m (No. 221)
One atom of each set of equivalent atoms:
Ta 0.0000 0.0000 0.0000 [1 per cell]
Tl 0.5000 0.5000 0.5000 [1 per cell]
Se 0.0000 0.0000 0.5000 [3 per cell]



DFT (GGA-PBE) results for a relaxed TbHo2Pa crystal.

## Properties
total moment: 0.000 μB/f.u.
offset from the most stable computed form: 153 meV per atom
energy: -5.54 eV/atom

a b c (Å): 3.3241 3.3241 36.5877
angles (deg): 90.00 90.00 120.00
Space group R-3m (No. 166, hexagonal axes)
One atom of each set of equivalent atoms:
Tb 0.0000 0.0000 0.0000 [3 per cell]
Ho 0.0000 0.0000 0.4126 [6 per cell]
Pa 0.0000 0.0000 0.5000 [3 per cell]



DFT (GGA-PBE) results for a relaxed La2VCl crystal.

## Properties
total moment: 0.816 μB/f.u.
offset from the most stable computed form: 116 meV per atom
raw formation energy: 0.033 eV/atom
energy: -5.17 eV/atom

a b c (Å): 6.9346 6.9346 9.6328
angles (deg): 90.00 90.00 90.00
Space group I-42d (No. 122)
One atom of each set of equivalent atoms:
La 0.1804 0.2500 0.1250 [8 per cell]
V 0.0000 0.0000 0.0000 [4 per cell]
Cl 0.0000 0.0000 0.5000 [4 per cell]



DFT (GGA-PBE) results for a relaxed LiAl2HRh crystal.

## Properties
total moment: 0.000 μB/f.u.
energy: -4.49 eV/atom

a b c (Å): 4.2485 4.2485 3.1101
angles (deg): 90.00 90.00 90.00
Space group P4/mmm (No. 123)
One atom of each set of equivalent atoms:
Li 0.0000 0.0000 0.0000 [1 per cell]
Al 0.0000 0.5000 0.5000 [2 per cell]
H 0.0000 0.0000 0.5000 [1 per cell]
Rh 0.5000 0.5000 0.0000 [1 per cell]



DFT (GGA-PBE) results for a relaxed Ba5Sn2H2 crystal.

## Properties
total moment: 0.000 μB/f.u.
offset from the most stable computed form: 0 meV per atom
energy: -3.20 eV/atom

a b c (Å): 22.8921 7.7688 7.6863
angles (deg): 90.00 90.00 90.00
Space group Ima2 (No. 46)
One atom of each set of equivalent atoms:
Ba 0.0100 0.2463 0.0000 [8 per cell]
Ba 0.1429 0.5508 0.2272 [8 per cell]
Ba 0.2500 0.1174 0.1357 [4 per cell]
Sn 0.1101 0.5024 0.7590 [8 per cell]
H 0.0000 0.0000 0.7463 [4 per cell]
H 0.2500 0.0762 0.7904 [4 per cell]



DFT (GGA-PBE) results for a relaxed Sc7Cu2Pt2 crystal.

## Properties
total moment: 0.001 μB/f.u.
energy: -6.23 eV/atom

a b c (Å): 7.2307 9.9327 6.7281
angles (deg): 90.00 90.00 90.00
Space group Cmmm (No. 65)
One atom of each set of equivalent atoms:
Sc 0.0000 0.0000 0.0000 [2 per cell]
Sc 0.0000 0.5000 0.2671 [4 per cell]
Sc 0.2500 0.2500 0.2740 [8 per cell]
Cu 0.1752 0.0000 0.5000 [4 per cell]
Pt 0.0000 0.2877 0.0000 [4 per cell]



DFT (GGA-PBE) results for a relaxed Na2GaIr2 crystal.

## Properties
total moment: 0.000 μB/f.u.
offset from the most stable computed form: 0 meV per atom
energy: -4.24 eV/atom

a b c (Å): 3.5071 3.5071 19.5833
angles (deg): 90.00 90.00 90.00
Space group I4/mmm (No. 139)
One atom of each set of equivalent atoms:
Na 0.0000 0.0000 0.1190 [4 per cell]
Ga 0.0000 0.0000 0.5000 [2 per cell]
Ir 0.0000 0.5000 0.2500 [4 per cell]



DFT (GGA-PBE) results for a relaxed KY2Cd crystal.

## Properties
total moment: 0.000 μB/f.u.
energy: -3.45 eV/atom

a b c (Å): 6.9261 12.4071 3.4298
angles (deg): 90.00 116.14 90.00
Space group C2/m (No. 12)
One atom of each set of equivalent atoms:
K 0.0000 0.0000 0.0000 [2 per cell]
Y 0.2500 0.2500 0.5000 [4 per cell]
Cd 0.0000 0.5000 0.0000 [2 per cell]



DFT (GGA-PBE) results for a relaxed CuPbAu2 crystal.

## Properties
total moment: 0.000 μB/f.u.
energy: -3.49 eV/atom

a b c (Å): 3.2492 3.2492 26.4882
angles (deg): 90.00 90.00 120.00
Space group R-3m (No. 166, hexagonal axes)
One atom of each set of equivalent atoms:
Cu 0.0000 0.0000 0.0000 [3 per cell]
Pb 0.0000 0.0000 0.5000 [3 per cell]
Au 0.0000 0.0000 0.2637 [6 per cell]



DFT (GGA-PBE) results for a relaxed Re2GeIrPb crystal.

## Properties
total moment: 1.833 μB/f.u.
energy: -6.37 eV/atom

a b c (Å): 4.5620 4.5620 5.1248
angles (deg): 90.00 90.00 90.00
Space group P4/mmm (No. 123)
One atom of each set of equivalent atoms:
Re 0.0000 0.5000 0.0000 [2 per cell]
Ge 0.0000 0.0000 0.0000 [1 per cell]
Ir 0.5000 0.5000 0.5000 [1 per cell]
Pb 0.0000 0.0000 0.5000 [1 per cell]



DFT (GGA-PBE) results for a relaxed Ac7TlI12 crystal.

## Properties
total moment: 2.192 μB/f.u.
raw formation energy: -1.263 eV/atom
energy: -3.75 eV/atom

a b c (Å): 17.4801 17.4801 10.5423
angles (deg): 90.00 90.00 120.00
Space group R-3 (No. 148, hexagonal axes)
One atom of each set of equivalent atoms:
Ac 0.0000 0.0000 0.0000 [3 per cell]
Ac 0.0445 0.1652 0.3117 [18 per cell]
Tl 0.0000 0.0000 0.5000 [3 per cell]
I 0.0355 0.5900 0.1620 [18 per cell]
I 0.0525 0.1955 0.8533 [18 per cell]



DFT (GGA-PBE) results for a relaxed BeFeTc2 crystal.

## Properties
total moment: 1.609 μB/f.u.
energy: -8.11 eV/atom

a b c (Å): 8.5230 2.6654 4.5361
angles (deg): 90.00 101.13 90.00
Space group C2/m (No. 12)
One atom of each set of equivalent atoms:
Be 0.0000 0.0000 0.0000 [2 per cell]
Fe 0.0000 0.5000 0.5000 [2 per cell]
Tc 0.2497 0.0000 0.7523 [4 per cell]



DFT (GGA-PBE) results for a relaxed YHo2Hg crystal.

## Properties
total moment: 0.000 μB/f.u.
offset from the most stable computed form: 0 meV per atom
energy: -4.21 eV/atom

a b c (Å): 3.5948 3.5948 8.9096
angles (deg): 90.00 90.00 90.00
Space group P4/mmm (No. 123)
One atom of each set of equivalent atoms:
Y 0.0000 0.0000 0.0000 [1 per cell]
Ho 0.5000 0.5000 0.2789 [2 per cell]
Hg 0.0000 0.0000 0.5000 [1 per cell]



DFT (GGA-PBE) results for a relaxed ICl3F crystal.

## Properties
total moment: 2.324 μB/f.u.
offset from the most stable computed form: 984 meV per atom
raw formation energy: 0.568 eV/atom
energy: -1.22 eV/atom

a b c (Å): 4.8556 4.8556 4.8556
angles (deg): 90.00 90.00 90.00
Space group Pm-3m (No. 221)
One atom of each set of equivalent atoms:
I 0.0000 0.0000 0.0000 [1 per cell]
Cl 0.0000 0.5000 0.5000 [3 per cell]
F 0.5000 0.5000 0.5000 [1 per cell]



DFT (GGA-PBE) results for a relaxed Ac3Ce2S8 crystal.

## Properties
total moment: 1.030 μB/f.u.
raw formation energy: -1.879 eV/atom
energy: -6.28 eV/atom

a b c (Å): 10.1091 14.0355 4.8909
angles (deg): 90.00 90.00 90.00
Space group Cmmm (No. 65)
One atom of each set of equivalent atoms:
Ac 0.0000 0.0000 0.0000 [2 per cell]
Ac 0.2164 0.5000 0.5000 [4 per cell]
Ce 0.0000 0.2677 0.0000 [4 per cell]
S 0.0000 0.1239 0.5000 [4 per cell]
S 0.0000 0.3638 0.5000 [4 per cell]
S 0.2468 0.1291 0.0000 [8 per cell]



DFT (GGA-PBE) results for a relaxed TaFeAu2 crystal.

## Properties
total moment: 2.633 μB/f.u.
offset from the most stable computed form: 175 meV per atom
energy: -6.53 eV/atom

a b c (Å): 2.9063 2.9063 27.5315
angles (deg): 90.00 90.00 120.00
Space group R-3m (No. 166, hexagonal axes)
One atom of each set of equivalent atoms:
Ta 0.0000 0.0000 0.0000 [3 per cell]
Fe 0.0000 0.0000 0.5000 [3 per cell]
Au 0.0000 0.0000 0.2458 [6 per cell]



DFT (GGA-PBE) results for a relaxed Cs5NbS4Cl2 crystal.

## Properties
total moment: 0.000 μB/f.u.
raw formation energy: -1.469 eV/atom
energy: -4.35 eV/atom

a b c (Å): 10.3171 11.9950 8.2821
angles (deg): 90.00 90.00 90.00
Space group Amm2 (No. 38)
One atom of each set of equivalent atoms:
Cs 0.0000 0.0000 0.0000 [2 per cell]
Cs 0.2636 0.1926 0.4833 [8 per cell]
Nb 0.5000 0.0000 0.9658 [2 per cell]
S 0.3181 0.0000 0.1274 [4 per cell]
S 0.5000 0.1530 0.7991 [4 per cell]
Cl 0.0000 0.2298 0.7384 [4 per cell]



DFT (GGA-PBE) results for a relaxed PrDyTl2 crystal.

## Properties
total moment: 0.000 μB/f.u.
offset from the most stable computed form: 118 meV per atom
energy: -3.79 eV/atom

a b c (Å): 3.8307 3.8307 29.2900
angles (deg): 90.00 90.00 120.00
Space group R-3m (No. 166, hexagonal axes)
One atom of each set of equivalent atoms:
Pr 0.0000 0.0000 0.0000 [3 per cell]
Dy 0.0000 0.0000 0.5000 [3 per cell]
Tl 0.0000 0.0000 0.2471 [6 per cell]



DFT (GGA-PBE) results for a relaxed DyTc2PbO8 crystal.

## Properties
total moment: 3.008 μB/f.u.
raw formation energy: -1.705 eV/atom
energy: -7.43 eV/atom

a b c (Å): 5.9707 5.9707 7.1056
angles (deg): 90.00 90.00 120.00
Space group P-3m1 (No. 164)
One atom of each set of equivalent atoms:
Dy 0.0000 0.0000 0.0000 [1 per cell]
Tc 0.3333 0.6667 0.2854 [2 per cell]
Pb 0.0000 0.0000 0.5000 [1 per cell]
O 0.1642 0.3283 0.2092 [6 per cell]
O 0.3333 0.6667 0.5330 [2 per cell]



DFT (GGA-PBE) results for a relaxed Pr2YPb3 crystal.

## Properties
total moment: 0.000 μB/f.u.
offset from the most stable computed form: 20 meV per atom
energy: -5.01 eV/atom

a b c (Å): 9.6265 14.7109 5.9357
angles (deg): 90.00 116.20 90.00
Space group C2/c (No. 15)
One atom of each set of equivalent atoms:
Pr 0.0000 0.0821 0.2500 [4 per cell]
Pr 0.0000 0.2472 0.7500 [4 per cell]
Y 0.0000 0.4153 0.2500 [4 per cell]
Pb 0.2423 0.4192 0.0071 [8 per cell]
Pb 0.2500 0.2500 0.5000 [4 per cell]



DFT (GGA-PBE) results for a relaxed CaTc2Mo crystal.

## Properties
total moment: 0.000 μB/f.u.
offset from the most stable computed form: 125 meV per atom
energy: -7.94 eV/atom

a b c (Å): 2.9031 4.1516 6.2856
angles (deg): 90.00 101.33 90.00
Space group P2/m (No. 10)
One atom of each set of equivalent atoms:
Ca 0.0000 0.0000 0.0000 [1 per cell]
Tc 0.2861 0.5000 0.6889 [2 per cell]
Mo 0.5000 0.0000 0.5000 [1 per cell]



DFT (GGA-PBE) results for a relaxed La3NdN3 crystal.

## Properties
total moment: 0.000 μB/f.u.
offset from the most stable computed form: 133 meV per atom
raw formation energy: -0.998 eV/atom
energy: -7.36 eV/atom

a b c (Å): 6.4602 6.4602 28.2145
angles (deg): 90.00 90.00 120.00
Space group R-3 (No. 148, hexagonal axes)
One atom of each set of equivalent atoms:
La 0.0009 0.3080 0.0981 [18 per cell]
Nd 0.0000 0.0000 0.3331 [6 per cell]
N 0.0005 0.3805 0.9414 [18 per cell]



DFT (GGA-PBE) results for a relaxed Ir2Pt2C crystal.

## Properties
total moment: 0.000 μB/f.u.
offset from the most stable computed form: 0 meV per atom
energy: -6.94 eV/atom

a b c (Å): 5.4490 5.4490 4.9320
angles (deg): 90.00 90.00 90.00
Space group P4/mbm (No. 127)
One atom of each set of equivalent atoms:
Ir 0.1708 0.3292 0.0000 [4 per cell]
Pt 0.1789 0.6789 0.5000 [4 per cell]
C 0.0000 0.0000 0.5000 [2 per cell]